No. 1
The following is a DFT calculation (PBE) of crystalline Ti6MnV at its relaxed geometry.

Properties
**SG**: C2/m, No. 12

a = 5.4418 Å, b = 5.4418 Å, c = 5.5678 Å
α = 102.52°, β = 102.52°, γ = 118.20°
Element x y z (fractional)
V 0.0000 0.0000 0.0000
Ti 0.4623 0.0500 0.2498
Ti 0.5377 0.9500 0.7502
Ti 0.9500 0.5377 0.7502
Mn 0.5000 0.5000 0.5000
Ti 0.2613 0.2613 0.7389
Ti 0.7387 0.7387 0.2611
Ti 0.0500 0.4623 0.2498

No. 2
The following is a DFT calculation (PBE) of crystalline TiMn2V at its relaxed geometry.

Properties
**Relative energy among the computed polymorphs**: 5 meV per atom
**SG**: Fm-3m, No. 225

a = 4.1357 Å, b = 4.1357 Å, c = 4.1357 Å
α = 60.00°, β = 60.00°, γ = 60.00°
Last column: magnetic moment on the atom in μB.
Element x y z (fractional)
Mn 0.7500 0.7500 0.7500  0.57
Ti 0.0000 0.0000 0.0000  -0.19
Mn 0.2500 0.2500 0.2500  0.57
V 0.5000 0.5000 0.5000  -0.41

No. 3
The following is a DFT calculation (PBE) of crystalline Ti2Mn2V7 at its relaxed geometry.

Properties
**SG**: C2/m, No. 12

a = 4.7226 Å, b = 4.7226 Å, c = 7.9880 Å
α = 82.79°, β = 82.79°, γ = 117.04°
Element x y z (fractional)
Ti 0.2513 0.7487 0.5000
Ti 0.7487 0.2513 0.5000
V 0.4463 0.7825 0.8450
V 0.2175 0.5537 0.1550
V 0.5537 0.2175 0.1550
V 0.0000 0.0000 0.0000
V 0.1658 0.1658 0.7237
V 0.7825 0.4463 0.8450
V 0.8342 0.8342 0.2763
Mn 0.7160 0.7160 0.5915
Mn 0.2840 0.2840 0.4085

no.,DOS(E_F) (states/eV per cell),E_tot (eV/cell),ΔE_f (eV/atom)
1,8.43,-63.6,0.2559
2,2.20,-36.4,-0.2727
3,14.34,-96.2,0.1644